(1)
Here is ScCuBiAu after structural relaxation from OQMD. Energies are from GGA-PBE.

```
ScCuBiAu
1.0
0.000 3.446 3.446
3.446 0.000 3.446
3.446 3.446 0.000
Cu Sc Au Bi
1 1 1 1
direct
0.750 0.750 0.750
0.500 0.500 0.500
0.250 0.250 0.250
0.000 0.000 0.000
```

Properties
Size of the total moment (μB per atom): 0.000
ΔE to the lowest computed polymorph (meV/atom): 24


(2)
Here is PrYBi after structural relaxation from OQMD. Energies are from GGA-PBE.

```
PrYBi
1.0
-5.164 1.025 0.548
-2.830 1.633 -4.164
-3.584 -3.220 -2.190
Pr Y Bi
1 1 1
direct
0.250 0.250 0.250
0.750 0.750 0.750
0.000 0.000 0.000
```

Properties
Size of the total moment (μB per atom): 0.008


(3)
Here is BaIn2Hg2 after structural relaxation from OQMD. Energies are from GGA-PBE.

```
BaIn2Hg2
1.0
3.574 -3.575 0.000
3.574 3.575 0.000
-3.568 0.000 5.896
In Ba Hg
2 1 2
direct
0.378 0.378 0.757
0.622 0.622 0.243
0.000 0.000 0.000
0.750 0.250 0.500
0.250 0.750 0.500
```


(4)
Here is CdRe2Pt after structural relaxation from OQMD. Energies are from GGA-PBE.

```
CdRe2Pt
1.0
-2.601 -3.076 2.019
-1.181 0.531 4.316
-4.263 1.001 1.063
Re Pt Cd
2 1 1
direct
0.250 0.250 0.250
0.000 0.000 0.000
0.750 0.750 0.750
0.500 0.500 0.500
```

Properties
Size of the total moment (μB per atom): 0.273


(5)
Here is TbGd2Sn3Pb4 after structural relaxation from OQMD. Energies are from GGA-PBE.

```
TbGd2Sn3Pb4
1.0
2.305 -12.945 0.000
2.305 12.945 0.000
0.000 0.000 4.687
Pb Gd Tb Sn
4 2 1 3
direct
0.597 0.403 0.000
0.403 0.597 0.000
0.902 0.098 0.500
0.098 0.902 0.500
0.191 0.809 0.000
0.809 0.191 0.000
0.000 0.000 0.000
0.709 0.291 0.500
0.291 0.709 0.500
0.500 0.500 0.500
```

Properties
Size of the total moment (μB per atom): 0.000
ΔE to the lowest computed polymorph (meV/atom): 0


(6)
Here is MgU3Pb after structural relaxation from OQMD. Energies are from GGA-PBE.

```
MgU3Pb
1.0
5.156 -8.935 0.000
5.156 8.935 0.000
0.000 0.000 4.060
U Pb Mg
6 2 2
direct
0.684 0.842 0.750
0.842 0.684 0.250
0.842 0.158 0.250
0.316 0.158 0.250
0.158 0.842 0.750
0.158 0.316 0.750
0.333 0.667 0.750
0.667 0.333 0.250
0.000 0.000 0.500
0.000 0.000 0.000
```

Properties
Size of the total moment (μB per atom): 2.017


Computed final energy, in the same sequence as the records: -4.571 -5.500 -1.956 -7.410 -4.520 -5.933 eV/atom.
Computed V, in the same sequence as the records: 20.45 34.95 30.14 16.17 27.97 37.41 A^3/atom.